# MnSIO2

A relaxed MnSIO2 crystal (PBE with a Hubbard U, the Alexandria database).

Geometry as POSCAR:
```
MnSIO2
1.0
-3.409 0.446 1.607
-1.655 -1.363 -3.131
0.395 -6.633 2.679
S I O Mn
1 1 2 1
Direct
0.500 0.500 0.500
0.000 0.000 0.500
0.500 0.000 0.000
0.000 0.500 0.000
0.000 0.000 0.000
```

Computed properties:
**Raw total energy**: -4.82 eV/atom